GGA+U CoBiO4, optimized geometry; final energy = -5.600 eV per atom; ρ = 6.621 g cm⁻³; total magnetization = 0.0 μB per cell; E above lowest polymorph = 0 meV per atom
1.0
-2.847 3.410 4.288
2.847 -3.410 4.288
2.847 3.410 -4.288
Co Bi O
2 2 8
direct
0.500 0.000 0.000
0.500 0.500 0.500
0.000 0.000 0.000
0.500 0.000 0.500
0.276 0.275 0.500
0.276 0.776 0.000
0.310 0.248 0.062
0.314 0.752 0.562
0.686 0.248 0.438
0.690 0.752 0.938
0.724 0.224 0.000
0.724 0.725 0.500